The following is a DFT calculation (PBE) of a geometry-optimized PmZnAgF6 structure.

Fermi-level density of states ... 0.000 states/eV/atom
Space group ... P4_2nm
Theoretical density ... 4.9 Mg/m³
ΔE_f (raw) ... -2.758 eV/atom

POSCAR file:
```
PmZnAgF6
1.0
-1.610 -4.947 -0.878
1.144 0.537 -5.122
9.708 -3.480 1.803
F Zn Ag Pm
12 2 2 2
Direct
0.274 0.274 0.317
0.303 0.303 0.693
0.176 0.824 0.490
0.676 0.676 0.990
0.803 0.197 0.193
0.226 0.774 0.817
0.824 0.176 0.490
0.774 0.226 0.817
0.197 0.803 0.193
0.697 0.697 0.693
0.324 0.324 0.990
0.726 0.726 0.317
0.500 0.500 0.833
0.000 0.000 0.333
0.000 0.000 0.999
0.500 0.500 0.499
0.500 0.500 0.171
0.000 0.000 0.671
```